[1]
# Sm6ErIn5

A geometry-optimized Sm6ErIn5 structure (PBE, Alexandria via LeMat-Bulk).

N(E_F): 11.9 states/eV per cell
Formation energy: -0.254 eV per atom
Space group: C2/m (12)

a b c (Å): 6.2406 10.4882 7.7555
angles (deg): 47.45 81.16 76.86
Closest atoms and distances in Å follow each position.
Fractional coordinates of all 12 atoms:
Sm1 0.7304 0.0950 0.3617  5 In 3.20-3.56, 1 Sm 3.43
Sm2 0.2696 0.5433 0.3617  5 In 3.20-3.56, 1 Sm 3.43
Sm3 0.2128 0.2820 0.0000  5 In 3.21-3.44, 1 Er 3.51
Sm4 0.7872 0.7180 0.0000  5 In 3.21-3.44, 1 Er 3.51
Sm5 0.7304 0.4567 0.6383  5 In 3.20-3.56, 1 Sm 3.43
Sm6 0.2696 0.9050 0.6383  5 In 3.20-3.56, 1 Sm 3.43
Er1 0.0000 0.0000 0.0000  6 In 3.34-3.47, 6 Sm 3.51-3.64
In1 0.5000 0.1321 0.7357  1 In 3.02, 2 Sm 3.26
In2 0.0000 0.2918 0.4163  6 Sm 3.20-3.36, 1 Er 3.34
In3 0.5000 0.5000 0.0000  6 Sm 3.21
In4 0.0000 0.7081 0.5837  6 Sm 3.20-3.36, 1 Er 3.34
In5 0.5000 0.8679 0.2643  1 In 3.02, 2 Sm 3.26


[2]
# Sm2Er4In

A geometry-optimized Sm2Er4In structure (PBE, Alexandria via LeMat-Bulk).

N(E_F): 17.0 states/eV per cell
Formation energy: -0.028 eV per atom
Space group: P2_1/m (11)

a b c (Å): 5.7661 6.6210 11.5541
angles (deg): 90.00 105.21 90.00
Closest atoms and distances in Å follow each position.
Fractional coordinates of all 14 atoms:
Sm1 0.5657 0.7500 0.0241  2 In 3.24-3.33, 4 Er 3.32-3.41, 2 Sm 3.41
Sm2 0.4343 0.2500 0.9759  2 In 3.24-3.33, 4 Er 3.32-3.41, 2 Sm 3.41
Sm3 0.2637 0.2500 0.4236  7 Er 3.21-3.39
Sm4 0.7363 0.7500 0.5764  7 Er 3.21-3.39
Er1 0.6311 0.4934 0.2864  4 Er 3.22-3.51, 1 In 3.32, 2 Sm 3.37-3.41
Er2 0.9828 0.7500 0.8732  3 In 3.26-3.38, 3 Sm 3.32-3.36, 2 Er 3.62
Er3 0.0172 0.2500 0.1268  3 In 3.26-3.38, 3 Sm 3.32-3.36, 2 Er 3.62
Er4 0.6311 0.0066 0.2864  4 Er 3.22-3.51, 1 In 3.32, 2 Sm 3.37-3.41
Er5 0.8510 0.2500 0.5631  1 In 3.11, 4 Sm 3.21-3.39, 2 Er 3.48
Er6 0.3689 0.9934 0.7136  4 Er 3.22-3.51, 1 In 3.32, 2 Sm 3.37-3.41
Er7 0.3689 0.5066 0.7136  4 Er 3.22-3.51, 1 In 3.32, 2 Sm 3.37-3.41
Er8 0.1490 0.7500 0.4369  1 In 3.11, 4 Sm 3.21-3.39, 2 Er 3.48
In1 0.1308 0.7500 0.1656  6 Er 3.11-3.38, 2 Sm 3.24-3.33
In2 0.8692 0.2500 0.8344  6 Er 3.11-3.38, 2 Sm 3.24-3.33


[3]
# SmEr4In

A geometry-optimized SmEr4In structure (PBE, Alexandria via LeMat-Bulk).

N(E_F): 16.3 states/eV per cell
Formation energy: -0.126 eV per atom
Space group: Cmc2_1 (36)

a b c (Å): 4.8562 9.8518 7.7295
angles (deg): 90.00 108.31 90.00
Closest atoms and distances in Å follow each position.
Fractional coordinates of all 12 atoms:
Sm1 0.6679 0.7061 0.3359  9 Er 3.40-3.51, 3 In 3.42-3.53
Sm2 0.3321 0.2061 0.6641  9 Er 3.40-3.51, 3 In 3.42-3.53
Er1 0.0013 0.1972 0.0027  2 In 3.42-3.46, 8 Er 3.43-3.55, 2 Sm 3.48
Er2 0.9987 0.6972 0.9973  2 In 3.42-3.46, 8 Er 3.43-3.55, 2 Sm 3.48
Er3 0.4959 0.9468 0.9918  2 In 3.37, 8 Er 3.46-3.56, 2 Sm 3.46-3.51
Er4 0.5041 0.4468 0.0082  2 In 3.37, 8 Er 3.46-3.56, 2 Sm 3.46-3.51
Er5 0.8267 0.4470 0.6533  3 Sm 3.40-3.46, 2 In 3.41, 7 Er 3.41-3.56
Er6 0.1733 0.9470 0.3467  3 Sm 3.40-3.46, 2 In 3.41, 7 Er 3.41-3.56
Er7 0.6662 0.1897 0.3323  7 Er 3.41-3.47, 2 Sm 3.44, 3 In 3.46-3.51
Er8 0.3338 0.6897 0.6677  7 Er 3.41-3.47, 2 Sm 3.44, 3 In 3.46-3.51
In1 0.8362 0.9466 0.6724  9 Er 3.37-3.51, 3 Sm 3.42-3.53
In2 0.1638 0.4466 0.3276  9 Er 3.37-3.51, 3 Sm 3.42-3.53


[4]
# Sm2ErIn

A geometry-optimized Sm2ErIn structure (PBE, Alexandria via LeMat-Bulk).

N(E_F): 6.7 states/eV per cell
Formation energy: -0.149 eV per atom
Space group: Fm-3m (225)

a b c (Å): 5.5067 5.5067 5.5067
angles (deg): 60.00 60.00 60.00
Closest atoms and distances in Å follow each position.
Fractional coordinates of all 4 atoms:
In1 0.5000 0.5000 0.5000  8 Sm 3.37
Sm1 0.2500 0.2500 0.2500  4 In 3.37, 4 Er 3.37
Sm2 0.7500 0.7500 0.7500  4 In 3.37, 4 Er 3.37
Er1 0.0000 0.0000 0.0000  8 Sm 3.37


[5]
# Sm6ErIn5

A geometry-optimized Sm6ErIn5 structure (PBE, Alexandria via LeMat-Bulk).

N(E_F): 11.8 states/eV per cell
Formation energy: -0.394 eV per atom
Space group: Immm (71)

a b c (Å): 5.0247 9.0069 9.1749
angles (deg): 119.40 105.89 90.00
Closest atoms and distances in Å follow each position.
Fractional coordinates of all 12 atoms:
In1 0.6523 0.1523 0.3046  8 Sm 3.34-3.45, 2 Er 3.41, 2 In 3.65
In2 0.3267 0.3267 0.6534  8 Sm 3.31-3.36, 4 In 3.64-3.65
In3 0.0000 0.5000 0.0000  8 Sm 3.27-3.37, 4 In 3.64
In4 0.6733 0.6733 0.3466  8 Sm 3.31-3.36, 4 In 3.64-3.65
In5 0.3477 0.8477 0.6954  8 Sm 3.34-3.45, 2 Er 3.41, 2 In 3.65
Sm1 0.8295 0.5685 0.6591  7 In 3.31-3.45, 4 Sm 3.49-3.61, 1 Er 3.50
Sm2 0.8295 0.0906 0.6591  7 In 3.31-3.45, 4 Sm 3.49-3.61, 1 Er 3.50
Sm3 0.5000 0.7330 0.0000  6 In 3.27-3.36, 2 Er 3.48, 4 Sm 3.61
Sm4 0.5000 0.2670 0.0000  6 In 3.27-3.36, 2 Er 3.48, 4 Sm 3.61
Sm5 0.1705 0.9094 0.3409  7 In 3.31-3.45, 4 Sm 3.49-3.61, 1 Er 3.50
Sm6 0.1705 0.4315 0.3409  7 In 3.31-3.45, 4 Sm 3.49-3.61, 1 Er 3.50
Er1 0.0000 0.0000 0.0000  4 In 3.41, 8 Sm 3.48-3.50


[6]
# Sm2Er3In3

A geometry-optimized Sm2Er3In3 structure (PBE, Alexandria via LeMat-Bulk).

N(E_F): 6.6 states/eV per cell
Formation energy: -0.342 eV per atom
Space group: Immm (71)

a b c (Å): 4.5160 4.8587 10.6263
angles (deg): 103.22 102.27 90.00
Closest atoms and distances in Å follow each position.
Fractional coordinates of all 8 atoms:
Sm1 0.2593 0.7593 0.5187  2 In 3.28, 4 Sm 3.34, 4 Er 3.48-3.65
Sm2 0.7407 0.2407 0.4813  2 In 3.28, 4 Sm 3.34, 4 Er 3.48-3.65
Er1 0.3827 0.3827 0.7654  6 In 3.27-3.32, 2 Er 3.39, 4 Sm 3.48-3.65
Er2 0.6173 0.6173 0.2346  6 In 3.27-3.32, 2 Er 3.39, 4 Sm 3.48-3.65
Er3 0.5000 0.0000 0.0000  8 In 3.32-3.35, 4 Er 3.39
In1 0.8774 0.8774 0.7547  2 Sm 3.28, 6 Er 3.32-3.35, 2 In 3.47
In2 0.0000 0.5000 0.0000  8 Er 3.27-3.32, 4 In 3.47
In3 0.1226 0.1226 0.2453  2 Sm 3.28, 6 Er 3.32-3.35, 2 In 3.47


[7]
# Sm3Er3In2

A geometry-optimized Sm3Er3In2 structure (PBE, Alexandria via LeMat-Bulk).

N(E_F): 17.7 states/eV per cell
Formation energy: -0.159 eV per atom
Space group: Cmcm (63)

a b c (Å): 5.1375 6.4375 16.2100
angles (deg): 90.00 90.00 113.52
Closest atoms and distances in Å follow each position.
Fractional coordinates of all 16 atoms:
Sm1 0.9591 0.9183 0.3960  1 In 3.31, 6 Er 3.49-3.63, 2 Sm 3.51-3.53
Sm2 0.0409 0.0817 0.8960  1 In 3.31, 6 Er 3.49-3.63, 2 Sm 3.51-3.53
Sm3 0.9591 0.9183 0.1040  1 In 3.31, 6 Er 3.49-3.63, 2 Sm 3.51-3.53
Sm4 0.0409 0.0817 0.6040  1 In 3.31, 6 Er 3.49-3.63, 2 Sm 3.51-3.53
Sm5 0.7371 0.4741 0.2500  4 In 3.18, 1 Er 3.30, 2 Sm 3.53
Sm6 0.2629 0.5259 0.7500  4 In 3.18, 1 Er 3.30, 2 Sm 3.53
Er1 0.6404 0.2808 0.4633  3 In 3.13-3.22
Er2 0.3596 0.7192 0.9633  3 In 3.13-3.22
Er3 0.6404 0.2808 0.0367  3 In 3.13-3.22
Er4 0.3596 0.7192 0.5367  3 In 3.13-3.22
Er5 0.4577 0.9155 0.2500  2 In 3.22, 5 Sm 3.30-3.49
Er6 0.5423 0.0845 0.7500  2 In 3.22, 5 Sm 3.30-3.49
In1 0.7640 0.5279 0.8655  4 Er 3.13-3.22, 3 Sm 3.18-3.31
In2 0.2360 0.4721 0.3655  4 Er 3.13-3.22, 3 Sm 3.18-3.31
In3 0.7640 0.5279 0.6345  4 Er 3.13-3.22, 3 Sm 3.18-3.31
In4 0.2360 0.4721 0.1345  4 Er 3.13-3.22, 3 Sm 3.18-3.31


[8]
# Sm12Er6In

A geometry-optimized Sm12Er6In structure (PBE, Alexandria via LeMat-Bulk).

N(E_F): 29.5 states/eV per cell
Formation energy: 0.068 eV per atom
Space group: R-3 (148)

a b c (Å): 8.5447 8.5447 8.5447
angles (deg): 88.73 88.73 88.73
Closest atoms and distances in Å follow each position.
Fractional coordinates of all 19 atoms:
Sm1 0.7839 0.5382 0.4323  3 Er 3.32-3.53, 4 Sm 3.35-3.65
Sm2 0.4323 0.7839 0.5382  3 Er 3.32-3.53, 4 Sm 3.35-3.65
Sm3 0.5382 0.4323 0.7839  3 Er 3.32-3.53, 4 Sm 3.35-3.65
Sm4 0.2161 0.4618 0.5677  3 Er 3.32-3.53, 4 Sm 3.35-3.65
Sm5 0.5677 0.2161 0.4618  3 Er 3.32-3.53, 4 Sm 3.35-3.65
Sm6 0.4618 0.5677 0.2161  3 Er 3.32-3.53, 4 Sm 3.35-3.65
Sm7 0.0147 0.1807 0.3633  4 Er 3.45-3.71, 1 In 3.50, 5 Sm 3.51-3.84
Sm8 0.8193 0.6367 0.9853  4 Er 3.45-3.71, 1 In 3.50, 5 Sm 3.51-3.84
Sm9 0.6367 0.9853 0.8193  4 Er 3.45-3.71, 1 In 3.50, 5 Sm 3.51-3.84
Sm10 0.9853 0.8193 0.6367  4 Er 3.45-3.71, 1 In 3.50, 5 Sm 3.51-3.84
Sm11 0.1807 0.3633 0.0147  4 Er 3.45-3.71, 1 In 3.50, 5 Sm 3.51-3.84
Sm12 0.3633 0.0147 0.1807  4 Er 3.45-3.71, 1 In 3.50, 5 Sm 3.51-3.84
Er1 0.7436 0.9007 0.2871  7 Sm 3.32-3.71, 1 In 3.36, 2 Er 3.41
Er2 0.7129 0.2564 0.0993  7 Sm 3.32-3.71, 1 In 3.36, 2 Er 3.41
Er3 0.0993 0.7129 0.2564  7 Sm 3.32-3.71, 1 In 3.36, 2 Er 3.41
Er4 0.2564 0.0993 0.7129  7 Sm 3.32-3.71, 1 In 3.36, 2 Er 3.41
Er5 0.2871 0.7436 0.9007  7 Sm 3.32-3.71, 1 In 3.36, 2 Er 3.41
Er6 0.9007 0.2871 0.7436  7 Sm 3.32-3.71, 1 In 3.36, 2 Er 3.41
In1 0.0000 0.0000 0.0000  6 Er 3.36, 6 Sm 3.50


[9]
# Sm3Er5In

A geometry-optimized Sm3Er5In structure (PBE, Alexandria via LeMat-Bulk).

N(E_F): 25.4 states/eV per cell
Formation energy: 0.304 eV per atom
Space group: C2/m (12)

a b c (Å): 7.2432 7.2432 12.4813
angles (deg): 95.30 95.30 71.44
Closest atoms and distances in Å follow each position.
Fractional coordinates of all 18 atoms:
Sm1 0.9514 0.9514 0.7447  2 Sm 3.17, 1 In 3.21, 2 Er 3.44
Sm2 0.6647 0.6647 0.5458  1 In 3.26, 2 Er 3.61
Sm3 0.0000 0.0000 0.0000  2 Er 2.75
Sm4 0.0000 0.0000 0.5000  2 In 3.02, 2 Sm 3.17
Sm5 0.0486 0.0486 0.2553  2 Sm 3.17, 1 In 3.21, 2 Er 3.44
Sm6 0.3353 0.3353 0.4542  1 In 3.26, 2 Er 3.61
Er1 0.0949 0.4847 0.1955  1 In 3.07, 3 Er 3.17-3.43, 1 Sm 3.44
Er2 0.3254 0.6746 0.0000  1 Sm 2.75, 1 Er 2.95
Er3 0.7485 0.7485 0.0490  1 Sm 3.09, 6 Er 3.17-3.45
Er4 0.5454 0.5454 0.2546  1 In 2.99
Er5 0.4546 0.4546 0.7454  1 In 2.99
Er6 0.2515 0.2515 0.9510  1 Sm 3.09, 6 Er 3.17-3.45
Er7 0.4847 0.0949 0.1955  1 In 3.07, 3 Er 3.17-3.43, 1 Sm 3.44
Er8 0.6746 0.3254 0.0000  1 Sm 2.75, 1 Er 2.95
Er9 0.9051 0.5153 0.8045  1 In 3.07, 3 Er 3.17-3.43, 1 Sm 3.44
Er10 0.5153 0.9051 0.8045  1 In 3.07, 3 Er 3.17-3.43, 1 Sm 3.44
In1 0.2036 0.2036 0.6703  3 Er 2.99-3.07, 3 Sm 3.02-3.26
In2 0.7964 0.7964 0.3297  3 Er 2.99-3.07, 3 Sm 3.02-3.26


[10]
# Sm15Er4In

A geometry-optimized Sm15Er4In structure (PBE, Alexandria via LeMat-Bulk).

N(E_F): 26.9 states/eV per cell
Formation energy: -0.036 eV per atom
Space group: P4/mmm (123)

a b c (Å): 5.0454 5.0454 25.4394
angles (deg): 90.00 90.00 90.00
Closest atoms and distances in Å follow each position.
Fractional coordinates of all 20 atoms:
Sm1 0.5000 0.5000 0.0000  8 Sm 3.53, 4 In 3.57
Sm2 0.5000 0.5000 0.1972  4 Er 3.57, 8 Sm 3.59-3.61
Sm3 0.5000 0.5000 0.3990  4 Er 3.57, 8 Sm 3.59-3.60
Sm4 0.5000 0.5000 0.6010  4 Er 3.57, 8 Sm 3.59-3.60
Sm5 0.5000 0.5000 0.8028  4 Er 3.57, 8 Sm 3.59-3.61
Sm6 0.5000 0.0000 0.0971  2 In 3.53, 8 Sm 3.53-3.59, 2 Er 3.60
Sm7 0.5000 0.0000 0.2987  8 Sm 3.57-3.61, 4 Er 3.59-3.60
Sm8 0.5000 0.0000 0.5000  8 Sm 3.57-3.60, 4 Er 3.59
Sm9 0.5000 0.0000 0.7013  8 Sm 3.57-3.61, 4 Er 3.59-3.60
Sm10 0.5000 0.0000 0.9029  2 In 3.53, 8 Sm 3.53-3.59, 2 Er 3.60
Sm11 0.0000 0.5000 0.0971  8 Sm 3.53-3.59, 2 In 3.53, 2 Er 3.60
Sm12 0.0000 0.5000 0.2987  8 Sm 3.57-3.61, 4 Er 3.59-3.60
Sm13 0.0000 0.5000 0.5000  8 Sm 3.57-3.60, 4 Er 3.59
Sm14 0.0000 0.5000 0.7013  8 Sm 3.57-3.61, 4 Er 3.59-3.60
Sm15 0.0000 0.5000 0.9029  2 In 3.53, 8 Sm 3.53-3.59, 2 Er 3.60
Er1 0.0000 0.0000 0.1983  12 Sm 3.57-3.60
Er2 0.0000 0.0000 0.3997  12 Sm 3.57-3.60
Er3 0.0000 0.0000 0.6003  12 Sm 3.57-3.60
Er4 0.0000 0.0000 0.8017  12 Sm 3.57-3.60
In1 0.0000 0.0000 0.0000  12 Sm 3.53-3.57


[11]
# Sm3ErIn

A geometry-optimized Sm3ErIn structure (PBE, Alexandria via LeMat-Bulk).

N(E_F): 11.2 states/eV per cell
Formation energy: -0.189 eV per atom
Space group: Cmcm (63)

a b c (Å): 4.8791 4.8818 12.9093
angles (deg): 90.00 79.11 90.00
Closest atoms and distances in Å follow each position.
Fractional coordinates of all 10 atoms:
Sm1 0.7711 0.2500 0.1061  8 Sm 3.45-3.63, 2 Er 3.48, 2 In 3.52
Sm2 0.3774 0.2500 0.8936  8 Sm 3.45-3.64, 2 Er 3.48, 2 In 3.52
Sm3 0.5734 0.2500 0.5015  4 In 3.45-3.48, 4 Sm 3.45, 4 Er 3.49-3.51
Sm4 0.2710 0.7500 0.1064  8 Sm 3.45-3.64, 2 Er 3.48, 2 In 3.52
Sm5 0.8772 0.7500 0.8939  8 Sm 3.45-3.63, 2 Er 3.48, 2 In 3.52
Sm6 0.0749 0.7500 0.4985  4 In 3.45-3.48, 4 Sm 3.45, 4 Er 3.49-3.51
Er1 0.4751 0.7500 0.6981  4 In 3.45, 8 Sm 3.48-3.51
Er2 0.1732 0.2500 0.3019  4 In 3.45, 8 Sm 3.48-3.51
In1 0.6710 0.7500 0.3063  8 Sm 3.45-3.52, 4 Er 3.45
In2 0.9773 0.2500 0.6937  8 Sm 3.45-3.52, 4 Er 3.45


[12]
# Sm4ErIn

A geometry-optimized Sm4ErIn structure (PBE, Alexandria via LeMat-Bulk).

N(E_F): 10.6 states/eV per cell
Formation energy: -0.076 eV per atom
Space group: P4/mmm (123)

a b c (Å): 4.0952 4.0952 11.2937
angles (deg): 90.00 90.00 90.00
Closest atoms and distances in Å follow each position.
Fractional coordinates of all 6 atoms:
Sm1 0.5000 0.5000 0.1650  4 Er 3.44, 5 Sm 3.59-3.73, 1 In 3.78
Sm2 0.0000 0.0000 0.6474  5 Sm 3.33-3.59, 4 In 3.34
Sm3 0.0000 0.0000 0.3526  5 Sm 3.33-3.59, 4 In 3.34
Sm4 0.5000 0.5000 0.8350  4 Er 3.44, 5 Sm 3.59-3.73, 1 In 3.78
Er1 0.0000 0.0000 0.0000  8 Sm 3.44
In1 0.5000 0.5000 0.5000  8 Sm 3.34


no.,total magnetization (Bohr magnetons per cell)
1,0.000
2,0.000
3,0.000
4,0.801
5,0.000
6,0.000
7,0.000
8,0.000
9,0.000
10,0.000
11,0.000
12,0.001